*w*
Compound: FeSe2BrF
Source: Alexandria via LeMat-Bulk
Functional: PBE with a Hubbard U
Structure: optimized geometry

The calculation puts the theoretical density at 4186 kg/m³. The value obtained for the density of states at the Fermi level is 5.52 states/eV/cell.

The space group is P4/mmm (No. 123) and the conventional cell measures 4.977, 4.977 and 5.006 Å, with angles of 90.00, 90.00 and 90.00 degrees. The inequivalent atoms are Fe at (0.000, 0.000, 0.000), Se at (0.000, 0.500, 0.000), Br at (0.000, 0.000, 0.500) and F at (0.500, 0.500, 0.500).

***

*x*
Compound: FeSe2BrF
Source: Alexandria via LeMat-Bulk
Functional: PBE with a Hubbard U
Structure: optimized geometry

The calculation puts the theoretical density at 4725 kg/m³. The value obtained for the density of states at the Fermi level is 6.40 states/eV/cell.

The space group is P4/mmm (No. 123) and the conventional cell measures 4.340, 4.340 and 5.835 Å, with angles of 90.00, 90.00 and 90.00 degrees. The inequivalent atoms are Fe at (0.000, 0.000, 0.000), Se at (0.000, 0.500, 0.500), Br at (0.500, 0.500, 0.000) and F at (0.500, 0.500, 0.500).

***

Most stable to least stable, the ends of the list are *w* and *x*.